This record from the Alexandria database describes crystalline Si2RuBr at its relaxed geometry. The functional is GGA-PBE.

The structure belongs to space group P4mm (No. 99); the cell edges are 3.0860, 3.0860 and 7.9021 Å and the angles 90.00°, 90.00° and 90.00°. The distinct sites, in fractional coordinates, are Si at (0.0000, 0.0000, 0.0000), Si at (0.5000, 0.5000, 0.1804), Ru at (0.5000, 0.5000, 0.8560) and Br at (0.0000, 0.0000, 0.5965).

Its magnetization is 0.0 μB/cell. As for the calculated total energy: -5.261 eV per atom. The energy above the lowest structure with this stoichiometry comes out at 0.160 eV/atom.

This record from the Alexandria database describes crystalline LaCu2Hg at its relaxed geometry. The functional is GGA-PBE.

The structure belongs to space group F-43m (No. 216); the cell edges are 6.9949, 6.9949 and 6.9949 Å and the angles 90.00°, 90.00° and 90.00°. The distinct sites, in fractional coordinates, are La at (0.0000, 0.0000, 0.0000), Cu at (0.0000, 0.0000, 0.5000), Cu at (0.2500, 0.2500, 0.2500) and Hg at (0.2500, 0.2500, 0.7500).

Its magnetization is 0.0 μB/cell. The formation energy comes out at -0.050 eV/atom. As for the calculated total energy: -3.406 eV per atom.

This record from the Alexandria database describes crystalline CaZnGe4 at its relaxed geometry. The functional is GGA-PBE.

The structure belongs to space group F-43m (No. 216); the cell edges are 7.9206, 7.9206 and 7.9206 Å and the angles 90.00°, 90.00° and 90.00°. The distinct sites, in fractional coordinates, are Ca at (0.0000, 0.0000, 0.0000), Zn at (0.2500, 0.2500, 0.7500) and Ge at (0.1240, 0.1240, 0.3760).

Its magnetization is 0.0 μB/cell. The formation energy comes out at -0.045 eV/atom. As for the calculated total energy: -3.670 eV per atom.